1.
Ca3SbP2Pd9 | PBE | relaxed

```
Ca3SbP2Pd9
1.0
6.327 0.000 0.000
-3.164 5.480 0.000
0.000 0.000 9.039
Ca Sb P Pd
3 1 2 9
Direct
0.333 0.667 0.688
0.000 0.000 0.000
0.667 0.333 0.312
0.000 0.000 0.500
0.333 0.667 0.161
0.667 0.333 0.839
0.849 0.151 0.724
0.849 0.697 0.724
0.303 0.151 0.724
0.697 0.849 0.276
0.151 0.303 0.276
0.151 0.849 0.276
0.500 0.000 0.000
0.000 0.500 0.000
0.500 0.500 0.000
```

Summary:
Fermi-level density of states, states/eV/f.u.: 6.8
Total magnetization, μB per atom: 0.000
Electronic total energy, eV/atom: -5.16
Space group: P-3m1 (164)

---

2.
NiPdRu3 | PBE | relaxed

```
NiPdRu3
1.0
4.716 0.000 0.000
0.000 4.716 0.000
0.000 0.000 4.716
Ru Pd Ni
3 1 1
Direct
0.000 0.500 0.000
0.000 0.000 0.500
0.500 0.000 0.000
0.000 0.000 0.000
0.500 0.500 0.500
```

Summary:
ΔH_f (0 K), eV/atom: 2.28
Polymorph energy (0 for the lowest one), eV per atom: 0.801
Fermi-level density of states, states/eV/f.u.: 11.1
Total magnetization, μB per atom: 1.387
Electronic total energy, eV/atom: -5.48
Space group: Pm-3m (221)

---

3.
Li2ScNi9 | PBE | relaxed

```
Li2ScNi9
1.0
-2.613 3.823 -0.393
-5.356 -3.141 5.054
3.892 3.294 6.172
Li Sc Ni
4 2 18
Direct
0.000 0.615 0.115
0.000 0.385 0.885
0.000 0.115 0.385
0.000 0.885 0.615
0.000 0.500 0.500
0.000 0.000 0.000
0.500 0.500 0.000
0.500 0.000 0.500
0.500 0.707 0.559
0.500 0.293 0.441
0.500 0.207 0.941
0.500 0.793 0.059
0.500 0.441 0.707
0.500 0.559 0.293
0.500 0.059 0.207
0.500 0.941 0.793
0.758 0.818 0.318
0.758 0.182 0.682
0.758 0.318 0.182
0.758 0.682 0.818
0.242 0.182 0.682
0.242 0.818 0.318
0.242 0.682 0.818
0.242 0.318 0.182
```

Summary:
ΔH_f (0 K), eV/atom: -0.13
Fermi-level density of states, states/eV/f.u.: 15.4
Total magnetization, μB per atom: 0.321
Electronic total energy, eV/atom: -5.31
Space group: P4/mbm (127)

---

4.
Cs2PmSiS4 | PBE | relaxed

```
Cs2PmSiS4
1.0
6.681 0.000 0.000
3.340 7.244 0.000
3.340 0.000 13.049
Cs Pm Si S
4 2 2 8
Direct
0.180 0.000 0.640
0.820 0.000 0.360
0.570 0.500 0.860
0.930 0.500 0.140
0.750 0.500 0.500
0.000 0.000 0.000
0.250 0.500 0.500
0.500 0.000 0.000
0.346 0.825 0.093
0.264 0.175 0.907
0.828 0.825 0.907
0.561 0.175 0.093
0.404 0.675 0.407
0.486 0.325 0.593
0.922 0.675 0.593
0.189 0.325 0.407
```

Summary:
Fermi-level density of states, states/eV/f.u.: 2.7
Total magnetization, μB per atom: 0.000
Electronic total energy, eV/atom: -4.70
Space group: Fddd (70)

---

5.
UCu3Si3 | PBE | relaxed

```
UCu3Si3
1.0
6.325 0.000 0.000
0.000 6.325 0.000
0.000 0.000 6.325
Si U Cu
6 2 6
Direct
0.000 0.250 0.500
0.000 0.750 0.500
0.500 0.000 0.750
0.750 0.500 0.000
0.500 0.000 0.250
0.250 0.500 0.000
0.500 0.500 0.500
0.000 0.000 0.000
0.250 0.000 0.500
0.000 0.500 0.250
0.500 0.750 0.000
0.750 0.000 0.500
0.000 0.500 0.750
0.500 0.250 0.000
```

Summary:
Fermi-level density of states, states/eV/f.u.: 9.6
Total magnetization, μB per atom: 0.372
Electronic total energy, eV/atom: -5.39
Space group: Pm-3n (223)

---

6.
Dy2ScGa3Ir4 | PBE | relaxed

```
Dy2ScGa3Ir4
1.0
4.139 0.000 0.000
0.000 4.139 0.000
0.000 0.000 11.015
Dy Sc Ga Ir
2 1 3 4
Direct
0.500 0.000 0.227
0.000 0.500 0.773
0.500 0.500 0.500
0.000 0.000 0.500
0.500 0.000 0.875
0.000 0.500 0.125
0.500 0.500 0.000
0.000 0.000 0.000
0.500 0.000 0.650
0.000 0.500 0.350
```

Summary:
ΔH_f (0 K), eV/atom: -0.76
Fermi-level density of states, states/eV/f.u.: 5.9
Total magnetization, μB per atom: 0.000
Electronic total energy, eV/atom: -6.76
Space group: P-4m2 (115)